# MnFe2O2 (GGA+U, optimized geometry)
data_MnFe2O2
_chemical_formula_sum 'Mn2 Fe4 O4'
_cell_length_a 4.255
_cell_length_b 4.255
_cell_length_c 8.237
_cell_angle_alpha 90.00
_cell_angle_beta 90.00
_cell_angle_gamma 90.00
_symmetry_space_group_name_H-M 'I 4/m m m'
_symmetry_Int_Tables_number 139
_symmetry_space_group_name_Hall '-I 4 2'
loop_
_atom_site_label
_atom_site_fract_x
_atom_site_fract_y
_atom_site_fract_z
Mn1 0.000 0.000 0.000
Fe1 0.000 0.500 0.250
O1 0.000 0.000 0.234
# calculated volume = 149.1 Å³/cell
# excess energy over the best structure of this formula in the dataset = 0.090 eV per atom